[1]
Computed, not measured: a geometry-optimized Tb2PuTl3S6 structure at the GGA-PBE level of DFT.

Lattice parameters (Å, degrees): 7.055 12.221 7.845 90.00 107.44 90.00
Space group C2/m (No. 12)
Asymmetric unit:
Tb1 0.000 0.167 0.000 (multiplicity 4)
Pu1 0.000 0.500 0.000 (multiplicity 2)
Tl1 0.000 0.000 0.500 (multiplicity 2)
Tl2 0.000 0.333 0.500 (multiplicity 4)
S1 0.231 0.000 0.198 (multiplicity 4)
S2 0.234 0.333 0.198 (multiplicity 8)

Its crystal system is monoclinic. The value obtained for the formation energy (no corrections) is -1.38 eV per atom. For the density of states at the Fermi level, the calculation gives 0.969 states/eV per atom.

---

[2]
Computed, not measured: a geometry-optimized Cs5KI8 structure at the GGA-PBE level of DFT.

Lattice parameters (Å, degrees): 11.577 11.577 11.279 90.00 90.00 90.00
Space group I-4 (No. 82)
Asymmetric unit:
Cs1 0.000 0.000 0.000 (multiplicity 2)
Cs2 0.123 0.776 0.629 (multiplicity 8)
K1 0.000 0.500 0.250 (multiplicity 2)
I1 0.056 0.629 0.953 (multiplicity 8)
I2 0.090 0.814 0.282 (multiplicity 8)

Its crystal system is tetragonal. The value obtained for the formation energy (no corrections) is -1.24 eV per atom. For the density of states at the Fermi level, the calculation gives 0.039 states/eV per atom.

---

[3]
Computed, not measured: a geometry-optimized Ba2TiNi structure at the GGA-PBE level of DFT.

Lattice parameters (Å, degrees): 11.896 11.896 4.637 90.00 90.00 90.00
Space group I-42d (No. 122)
Asymmetric unit:
Ba1 0.079 0.250 0.125 (multiplicity 8)
Ti1 0.000 0.000 0.500 (multiplicity 4)
Ni1 0.000 0.000 0.000 (multiplicity 4)

Its crystal system is tetragonal. The energy above the most stable polymorph in this dataset comes out at 0 meV/atom. The calculation puts the energy of formation from the pure elements at 0.451 eV/atom. For the density of states at the Fermi level, the calculation gives 1.326 states/eV per atom.

---

[4]
Computed, not measured: a geometry-optimized Rb2CaGeCl6 structure at the GGA-PBE level of DFT.

Lattice parameters (Å, degrees): 10.755 10.755 10.755 90.00 90.00 90.00
Space group Fm-3m (No. 225)
Asymmetric unit:
Rb1 0.250 0.250 0.250 (multiplicity 8)
Ca1 0.000 0.000 0.000 (multiplicity 4)
Ge1 0.000 0.000 0.500 (multiplicity 4)
Cl1 0.000 0.000 0.252 (multiplicity 24)

Its crystal system is cubic. The value obtained for the formation energy (no corrections) is -1.75 eV per atom. For the density of states at the Fermi level, the calculation gives 0.000 states/eV per atom.